# LiLaMgIr PBE optimized geometry
data_LiLaMgIr
_cell_length_a 6.923
_cell_length_b 6.923
_cell_length_c 6.923
_cell_angle_alpha 90.00
_cell_angle_beta 90.00
_cell_angle_gamma 90.00
_space_group_name_H-M_alt 'F -4 3 m'
_space_group_IT_number 216
_space_group_name_Hall 'F -4 2 3'
loop_
_atom_site_label
_atom_site_type_symbol
_atom_site_fract_x
_atom_site_fract_y
_atom_site_fract_z
_atom_site_occupancy
Li1 Li 0.000 0.000 0.000 1
La1 La 0.250 0.250 0.750 1
Mg1 Mg 0.250 0.250 0.250 1
Ir1 Ir 0.000 0.000 0.500 1
# Formation energy from the elements: -0.34 eV/atom